Arrangement i

Compound: HfTlTePdSe2
Source: the Open Quantum Materials Database
Functional: PBE
Structure: relaxed

a = 8.4980 Å, b = 3.8903 Å, c = 10.1486 Å
α = 90.00°, β = 111.99°, γ = 90.00°
Space group P2_1/m (No. 11)
Unique sites:
1 Hf 0.1851 0.2500 0.1681 (multiplicity 2)
2 Tl 0.2312 0.7500 0.7028 (multiplicity 2)
3 Te 0.4217 0.7500 0.1361 (multiplicity 2)
4 Pd 0.4006 0.7500 0.3981 (multiplicity 2)
5 Se 0.0516 0.2500 0.8735 (multiplicity 2)
6 Se 0.2385 0.2500 0.4417 (multiplicity 2)

Arrangement ii

Compound: HfTlTePdSe2
Source: the Open Quantum Materials Database
Functional: PBE
Structure: relaxed

a = 8.4218 Å, b = 3.7726 Å, c = 10.5600 Å
α = 90.00°, β = 112.20°, γ = 90.00°
Space group P2_1/m (No. 11)
Unique sites:
1 Hf 0.1946 0.2500 0.1606 (multiplicity 2)
2 Tl 0.2511 0.7500 0.7338 (multiplicity 2)
3 Te 0.2292 0.2500 0.4466 (multiplicity 2)
4 Pd 0.4114 0.7500 0.3835 (multiplicity 2)
5 Se 0.0543 0.2500 0.8793 (multiplicity 2)
6 Se 0.4065 0.7500 0.1384 (multiplicity 2)

Which structure wins on stability? arrangement ii wins.

Arrangement i

Compound: HfTc2Pd
Source: the Open Quantum Materials Database
Functional: PBE
Structure: relaxed

a = 6.3728 Å, b = 6.3728 Å, c = 6.3728 Å
α = 90.00°, β = 90.00°, γ = 90.00°
Space group F-43m (No. 216)
Unique sites:
1 Hf 0.0000 0.0000 0.0000 (multiplicity 4)
2 Tc 0.0000 0.0000 0.5000 (multiplicity 4)
3 Tc 0.2500 0.2500 0.2500 (multiplicity 4)
4 Pd 0.2500 0.2500 0.7500 (multiplicity 4)

Arrangement ii

Compound: HfTc2Pd
Source: the Open Quantum Materials Database
Functional: PBE
Structure: relaxed

a = 4.1268 Å, b = 4.1268 Å, c = 15.1170 Å
α = 90.00°, β = 90.00°, γ = 90.00°
Space group I4/mmm (No. 139)
Unique sites:
1 Hf 0.0000 0.5000 0.2500 (multiplicity 4)
2 Tc 0.0000 0.0000 0.1131 (multiplicity 4)
3 Tc 0.0000 0.5000 0.0000 (multiplicity 4)
4 Pd 0.0000 0.0000 0.3826 (multiplicity 4)

Which structure wins on stability? arrangement i wins.

Arrangement i

Compound: HfZrPd
Source: the Open Quantum Materials Database
Functional: PBE
Structure: relaxed

a = 3.3211 Å, b = 3.3211 Å, c = 10.7277 Å
α = 90.00°, β = 90.00°, γ = 90.00°
Space group P4/mmm (No. 123)
Unique sites:
1 Hf 0.0000 0.0000 0.1556 (multiplicity 2)
2 Zr 0.5000 0.5000 0.3402 (multiplicity 2)
3 Pd 0.0000 0.0000 0.5000 (multiplicity 1)
4 Pd 0.5000 0.5000 0.0000 (multiplicity 1)

Arrangement ii

Compound: HfZrPd
Source: the Open Quantum Materials Database
Functional: PBE
Structure: relaxed

a = 6.4590 Å, b = 6.4590 Å, c = 6.4590 Å
α = 90.00°, β = 90.00°, γ = 90.00°
Space group F-43m (No. 216)
Unique sites:
1 Hf 0.0000 0.0000 0.0000 (multiplicity 4)
2 Zr 0.0000 0.0000 0.5000 (multiplicity 4)
3 Pd 0.2500 0.2500 0.2500 (multiplicity 4)

Which structure wins on stability? arrangement i wins.

Arrangement i

Compound: Hf2Zr2Pd
Source: the Open Quantum Materials Database
Functional: PBE
Structure: relaxed

a = 3.9782 Å, b = 3.9782 Å, c = 14.2675 Å
α = 90.00°, β = 90.00°, γ = 90.00°
Space group I4/mmm (No. 139)
Unique sites:
1 Hf 0.0000 0.5000 0.2500 (multiplicity 4)
2 Zr 0.0000 0.0000 0.0919 (multiplicity 4)
3 Pd 0.0000 0.0000 0.5000 (multiplicity 2)

Arrangement ii

Compound: Hf2Zr2Pd
Source: the Open Quantum Materials Database
Functional: PBE
Structure: relaxed

a = 3.8919 Å, b = 3.8919 Å, c = 14.7257 Å
α = 90.00°, β = 90.00°, γ = 90.00°
Space group I4/mmm (No. 139)
Unique sites:
1 Hf 0.0000 0.0000 0.0917 (multiplicity 4)
2 Zr 0.0000 0.5000 0.2500 (multiplicity 4)
3 Pd 0.0000 0.0000 0.5000 (multiplicity 2)

Which structure wins on stability? arrangement i wins.

Arrangement i

Compound: PmHfTe
Source: the Open Quantum Materials Database
Functional: PBE
Structure: relaxed

a = 5.5266 Å, b = 5.5266 Å, c = 3.1480 Å
α = 90.00°, β = 90.00°, γ = 120.00°
Space group P-6m2 (No. 187)
Unique sites:
1 Pm 0.0000 0.0000 0.0000 (multiplicity 1)
2 Hf 0.3333 0.6667 0.0000 (multiplicity 1)
3 Te 0.6667 0.3333 0.0000 (multiplicity 1)

Arrangement ii

Compound: PmHfTe
Source: the Open Quantum Materials Database
Functional: PBE
Structure: relaxed

a = 7.3788 Å, b = 7.3788 Å, c = 7.3788 Å
α = 90.00°, β = 90.00°, γ = 90.00°
Space group F-43m (No. 216)
Unique sites:
1 Pm 0.0000 0.0000 0.0000 (multiplicity 4)
2 Hf 0.2500 0.2500 0.7500 (multiplicity 4)
3 Te 0.2500 0.2500 0.2500 (multiplicity 4)

Arrangement iii

Compound: PmHfTe
Source: the Open Quantum Materials Database
Functional: PBE
Structure: relaxed

a = 7.0053 Å, b = 7.0053 Å, c = 7.0053 Å
α = 90.00°, β = 90.00°, γ = 90.00°
Space group F-43m (No. 216)
Unique sites:
1 Pm 0.0000 0.0000 0.0000 (multiplicity 4)
2 Hf 0.0000 0.0000 0.5000 (multiplicity 4)
3 Te 0.2500 0.2500 0.7500 (multiplicity 4)

Which structure wins on stability? arrangement iii wins.

Arrangement i

Compound: PmHfZn
Source: the Open Quantum Materials Database
Functional: PBE
Structure: relaxed

a = 6.7475 Å, b = 6.7475 Å, c = 6.7475 Å
α = 90.00°, β = 90.00°, γ = 90.00°
Space group F-43m (No. 216)
Unique sites:
1 Pm 0.0000 0.0000 0.0000 (multiplicity 4)
2 Hf 0.0000 0.0000 0.5000 (multiplicity 4)
3 Zn 0.2500 0.2500 0.7500 (multiplicity 4)

Arrangement ii

Compound: PmHfZn
Source: the Open Quantum Materials Database
Functional: PBE
Structure: relaxed

a = 6.9094 Å, b = 6.9094 Å, c = 6.9094 Å
α = 90.00°, β = 90.00°, γ = 90.00°
Space group F-43m (No. 216)
Unique sites:
1 Pm 0.0000 0.0000 0.0000 (multiplicity 4)
2 Hf 0.2500 0.2500 0.7500 (multiplicity 4)
3 Zn 0.2500 0.2500 0.2500 (multiplicity 4)

Which structure wins on stability? arrangement i wins.

Arrangement i

Compound: PrHf
Source: the Open Quantum Materials Database
Functional: PBE
Structure: relaxed

a = 6.6903 Å, b = 6.6903 Å, c = 6.6903 Å
α = 90.00°, β = 90.00°, γ = 90.00°
Space group F-43m (No. 216)
Unique sites:
1 Pr 0.0000 0.0000 0.0000 (multiplicity 4)
2 Hf 0.2500 0.2500 0.2500 (multiplicity 4)

Arrangement ii

Compound: PrHf
Source: the Open Quantum Materials Database
Functional: PBE
Structure: relaxed

a = 6.2188 Å, b = 6.2188 Å, c = 6.2188 Å
α = 90.00°, β = 90.00°, γ = 90.00°
Space group Fm-3m (No. 225)
Unique sites:
1 Pr 0.0000 0.0000 0.0000 (multiplicity 4)
2 Hf 0.0000 0.0000 0.5000 (multiplicity 4)

Arrangement iii

Compound: PrHf
Source: the Open Quantum Materials Database
Functional: PBE
Structure: relaxed

a = 3.3802 Å, b = 3.3802 Å, c = 5.6135 Å
α = 90.00°, β = 90.00°, γ = 120.00°
Space group P-6m2 (No. 187)
Unique sites:
1 Pr 0.0000 0.0000 0.0000 (multiplicity 1)
2 Hf 0.3333 0.6667 0.5000 (multiplicity 1)

Which structure wins on stability? arrangement iii wins.

Arrangement i

Compound: PrHfSc
Source: the Open Quantum Materials Database
Functional: PBE
Structure: relaxed

a = 7.0744 Å, b = 7.0744 Å, c = 7.0744 Å
α = 90.00°, β = 90.00°, γ = 90.00°
Space group F-43m (No. 216)
Unique sites:
1 Pr 0.0000 0.0000 0.0000 (multiplicity 4)
2 Hf 0.2500 0.2500 0.7500 (multiplicity 4)
3 Sc 0.2500 0.2500 0.2500 (multiplicity 4)

Arrangement ii

Compound: PrHfSc
Source: the Open Quantum Materials Database
Functional: PBE
Structure: relaxed

a = 7.1710 Å, b = 7.1710 Å, c = 7.1710 Å
α = 90.00°, β = 90.00°, γ = 90.00°
Space group F-43m (No. 216)
Unique sites:
1 Pr 0.0000 0.0000 0.0000 (multiplicity 4)
2 Hf 0.2500 0.2500 0.2500 (multiplicity 4)
3 Sc 0.0000 0.0000 0.5000 (multiplicity 4)

Which structure wins on stability? arrangement ii wins.

Arrangement i

Compound: PrHfSi2
Source: the Open Quantum Materials Database
Functional: PBE
Structure: relaxed

a = 3.8257 Å, b = 7.7644 Å, c = 5.5343 Å
α = 90.00°, β = 90.00°, γ = 90.00°
Space group Pmn2_1 (No. 31)
Unique sites:
1 Pr 0.0000 0.0736 0.0000 (multiplicity 2)
2 Hf 0.0000 0.5646 0.2600 (multiplicity 2)
3 Si 0.0000 0.2394 0.5132 (multiplicity 2)
4 Si 0.0000 0.6859 0.7426 (multiplicity 2)

Arrangement ii

Compound: PrHfSi2
Source: the Open Quantum Materials Database
Functional: PBE
Structure: relaxed

a = 3.8206 Å, b = 5.7065 Å, c = 7.6194 Å
α = 90.00°, β = 90.00°, γ = 90.00°
Space group Pmc2_1 (No. 26)
Unique sites:
1 Pr 0.0000 0.1240 0.0000 (multiplicity 2)
2 Hf 0.5000 0.3777 0.6395 (multiplicity 2)
3 Si 0.0000 0.3980 0.3630 (multiplicity 2)
4 Si 0.5000 0.1473 0.2897 (multiplicity 2)

Arrangement iii

Compound: PrHfSi2
Source: the Open Quantum Materials Database
Functional: PBE
Structure: relaxed

a = 5.6827 Å, b = 3.8544 Å, c = 7.5807 Å
α = 90.00°, β = 92.29°, γ = 90.00°
Space group P2_1/m (No. 11)
Unique sites:
1 Pr 0.1245 0.2500 0.1814 (multiplicity 2)
2 Hf 0.3872 0.2500 0.6734 (multiplicity 2)
3 Si 0.1482 0.7500 0.4722 (multiplicity 2)
4 Si 0.3752 0.7500 0.9510 (multiplicity 2)

Which structure wins on stability? arrangement i wins.

Arrangement i

Compound: PrHfTl
Source: the Open Quantum Materials Database
Functional: PBE
Structure: relaxed

a = 7.3011 Å, b = 7.3011 Å, c = 7.3011 Å
α = 90.00°, β = 90.00°, γ = 90.00°
Space group F-43m (No. 216)
Unique sites:
1 Pr 0.0000 0.0000 0.0000 (multiplicity 4)
2 Hf 0.2500 0.2500 0.7500 (multiplicity 4)
3 Tl 0.2500 0.2500 0.2500 (multiplicity 4)

Arrangement ii

Compound: PrHfTl
Source: the Open Quantum Materials Database
Functional: PBE
Structure: relaxed

a = 7.1637 Å, b = 7.1637 Å, c = 7.1637 Å
α = 90.00°, β = 90.00°, γ = 90.00°
Space group F-43m (No. 216)
Unique sites:
1 Pr 0.0000 0.0000 0.0000 (multiplicity 4)
2 Hf 0.0000 0.0000 0.5000 (multiplicity 4)
3 Tl 0.2500 0.2500 0.7500 (multiplicity 4)

Which structure wins on stability? arrangement ii wins.

Arrangement i

Compound: PrHfZn
Source: the Open Quantum Materials Database
Functional: PBE
Structure: relaxed

a = 6.8085 Å, b = 6.8085 Å, c = 6.8085 Å
α = 90.00°, β = 90.00°, γ = 90.00°
Space group F-43m (No. 216)
Unique sites:
1 Pr 0.0000 0.0000 0.0000 (multiplicity 4)
2 Hf 0.0000 0.0000 0.5000 (multiplicity 4)
3 Zn 0.2500 0.2500 0.7500 (multiplicity 4)

Arrangement ii

Compound: PrHfZn
Source: the Open Quantum Materials Database
Functional: PBE
Structure: relaxed

a = 6.9575 Å, b = 6.9575 Å, c = 6.9575 Å
α = 90.00°, β = 90.00°, γ = 90.00°
Space group F-43m (No. 216)
Unique sites:
1 Pr 0.0000 0.0000 0.0000 (multiplicity 4)
2 Hf 0.2500 0.2500 0.7500 (multiplicity 4)
3 Zn 0.2500 0.2500 0.2500 (multiplicity 4)

Which structure wins on stability? arrangement i wins.

Arrangement i

Compound: PrHfZr
Source: the Open Quantum Materials Database
Functional: PBE
Structure: relaxed

a = 7.1207 Å, b = 7.1207 Å, c = 7.1207 Å
α = 90.00°, β = 90.00°, γ = 90.00°
Space group F-43m (No. 216)
Unique sites:
1 Pr 0.0000 0.0000 0.0000 (multiplicity 4)
2 Hf 0.2500 0.2500 0.2500 (multiplicity 4)
3 Zr 0.0000 0.0000 0.5000 (multiplicity 4)

Arrangement ii

Compound: PrHfZr
Source: the Open Quantum Materials Database
Functional: PBE
Structure: relaxed

a = 7.0579 Å, b = 7.0579 Å, c = 7.0579 Å
α = 90.00°, β = 90.00°, γ = 90.00°
Space group F-43m (No. 216)
Unique sites:
1 Pr 0.0000 0.0000 0.0000 (multiplicity 4)
2 Hf 0.2500 0.2500 0.7500 (multiplicity 4)
3 Zr 0.2500 0.2500 0.2500 (multiplicity 4)

Which structure wins on stability? arrangement i wins.

Arrangement i

Compound: RbHfPt
Source: the Open Quantum Materials Database
Functional: PBE
Structure: relaxed

a = 6.7198 Å, b = 6.7198 Å, c = 6.7198 Å
α = 90.00°, β = 90.00°, γ = 90.00°
Space group F-43m (No. 216)
Unique sites:
1 Rb 0.0000 0.0000 0.0000 (multiplicity 4)
2 Hf 0.2500 0.2500 0.7500 (multiplicity 4)
3 Pt 0.2500 0.2500 0.2500 (multiplicity 4)

Arrangement ii

Compound: RbHfPt
Source: the Open Quantum Materials Database
Functional: PBE
Structure: relaxed

a = 6.9023 Å, b = 6.9023 Å, c = 6.9023 Å
α = 90.00°, β = 90.00°, γ = 90.00°
Space group F-43m (No. 216)
Unique sites:
1 Rb 0.0000 0.0000 0.0000 (multiplicity 4)
2 Hf 0.0000 0.0000 0.5000 (multiplicity 4)
3 Pt 0.2500 0.2500 0.7500 (multiplicity 4)

Which structure wins on stability? arrangement ii wins.